The following is a GGA-PBE calculation of a geometry-optimized Fe21Mo2C6 structure, from OQMD.

a = 7.3778 Å, b = 7.3778 Å, c = 7.3778 Å
α = 120.00°, β = 90.00°, γ = 120.00°
Closest atoms and distances in Å follow each position.
Element x y z (fractional)
C1 0.2789 0.0000 0.2789  8 Fe 2.04-2.10
Fe1 0.0000 0.0000 0.0000  12 Fe 2.49
Fe2 0.6166 0.7669 0.3834  3 C 2.04
Fe3 0.3834 0.7669 0.6166  3 C 2.04
Fe4 0.6166 0.2331 0.8497  3 C 2.04
Fe5 0.6631 0.0000 0.0000  2 C 2.10
Fe6 0.0000 0.6631 0.0000  2 C 2.10
Mo1 0.7500 0.5000 0.2500  4 Fe 2.41
C2 0.7211 0.4423 0.7211  8 Fe 2.04-2.10
Fe7 0.3369 0.3369 0.3369  2 C 2.10
Fe8 0.0000 0.0000 0.6631  2 C 2.10
Fe9 0.3834 0.7669 0.1503  3 C 2.04
C3 0.2789 0.0000 0.7211  8 Fe 2.04-2.10
Fe10 0.6631 0.6631 0.0000  2 C 2.10
Fe11 0.8497 0.2331 0.6166  3 C 2.04
Fe12 0.6631 0.6631 0.6631  2 C 2.10
Fe13 0.3369 0.3369 0.0000  2 C 2.10
Fe14 0.0000 0.6631 0.6631  2 C 2.10
Fe15 0.3369 0.0000 0.0000  2 C 2.10
Fe16 0.1503 0.7669 0.3834  3 C 2.04
Fe17 0.0000 0.0000 0.3369  2 C 2.10
C4 0.7211 0.0000 0.2789  8 Fe 2.04-2.10
Fe18 0.3834 0.2331 0.6166  3 C 2.04
C5 0.7211 0.0000 0.7211  8 Fe 2.04-2.10
Mo2 0.2500 0.5000 0.7500  4 Fe 2.41
Fe19 0.0000 0.3369 0.0000  2 C 2.10
Fe20 0.6166 0.2331 0.3834  3 C 2.04
Fe21 0.0000 0.3369 0.3369  2 C 2.10
C6 0.2789 0.5577 0.2789  8 Fe 2.04-2.10

Results
magnetic moment	29.6	μB per cell
calculated total energy	-8.6431	eV per atom